First-principles (PBE with a Hubbard U) data for a geometry-optimized SrTeMoO2 structure, as listed in Alexandria via LeMat-Bulk.

Output
- Total DFT energy (no corrections): -4.507 eV per atom

Lattice parameters (Å, degrees): 4.449 4.449 6.984 90.00 90.00 90.00
Space group P4/mmm (No. 123)
Symmetry-distinct sites (fractional):
Sr 0.000 0.000 0.000 x1
Te 0.000 0.000 0.500 x1
Mo 0.500 0.500 0.500 x1
O 0.000 0.500 0.000 x2